Here is a geometry-optimized PmNd2Mg structure from Alexandria. Energies are from PBE-GGA.

ΔH_f (0 K) ... 0.9 kcal/mol of atoms
Density of states at the Fermi level ... 1.28 states/eV/atom
Polymorph energy (0 for the lowest one) ... 78 meV per atom

```
PmNd2Mg
1.0
3.609 0.000 0.000
1.804 3.125 0.000
1.804 1.042 11.595
Pm Nd Mg
1 2 1
direct
0.667 0.667 0.999 Pm
0.086 0.086 0.743 Nd
0.247 0.247 0.258 Nd
0.500 0.500 0.500 Mg
```